# 1
VASP calculation (PBE) on crystalline Nd8MgHg2 at its relaxed geometry.

Structure (POSCAR):
```
Nd8MgHg2
1.0
8.334 -2.789 0.000
8.334 2.789 0.000
-4.619 0.000 7.520
Nd Mg Hg
8 1 2
Cartesian
0.125 0.000 1.691
-0.890 0.000 5.229
2.766 0.000 4.147
6.561 0.000 0.346
5.488 0.000 7.174
9.282 0.000 3.373
12.938 0.000 2.291
11.923 0.000 5.828
6.024 0.000 3.760
3.264 0.000 0.963
8.784 0.000 6.557
```

Formation enthalpy at 0 K: -173 meV/atom
Distance to the lowest polymorph of the same formula: 0 meV per atom
Crystal system: monoclinic
Theoretical density: 7.5 g/cm3

# 2
VASP calculation (PBE) on crystalline Nd3Mg2Hg at its relaxed geometry.

Structure (POSCAR):
```
Nd3Mg2Hg
1.0
3.884 0.000 0.000
0.000 3.884 0.000
0.000 0.000 11.520
Nd Mg Hg
3 2 1
Cartesian
0.000 0.000 0.000
0.000 0.000 3.872
0.000 0.000 7.648
1.942 1.942 1.895
1.942 1.942 9.626
1.942 1.942 5.760
```

Formation enthalpy at 0 K: -227 meV/atom
Crystal system: tetragonal
Theoretical density: 6.5 g/cm3

# 3
VASP calculation (PBE) on crystalline Nd3MgHg2 at its relaxed geometry.

Structure (POSCAR):
```
Nd3MgHg2
1.0
3.868 0.000 0.000
0.000 3.868 0.000
0.000 0.000 11.451
Nd Mg Hg
3 1 2
Cartesian
0.000 0.000 0.000
0.000 0.000 3.789
0.000 0.000 7.662
1.934 1.934 5.726
1.934 1.934 1.969
1.934 1.934 9.482
```

Formation enthalpy at 0 K: -349 meV/atom
Distance to the lowest polymorph of the same formula: 7 meV per atom
Crystal system: tetragonal
Theoretical density: 8.3 g/cm3

# 4
VASP calculation (PBE) on crystalline NdMgHg4 at its relaxed geometry.

Structure (POSCAR):
```
NdMgHg4
1.0
4.516 0.000 0.000
0.000 4.516 0.000
0.000 0.000 8.416
Nd Mg Hg
1 1 4
Cartesian
0.000 0.000 0.000
2.258 2.258 4.208
0.000 2.258 2.305
0.000 2.258 6.110
2.258 0.000 2.305
2.258 0.000 6.110
```

Formation enthalpy at 0 K: -117 meV/atom
Distance to the lowest polymorph of the same formula: 0 meV per atom
Crystal system: tetragonal
Theoretical density: 9.4 g/cm3

# 5
VASP calculation (PBE) on crystalline NdMg3Hg4 at its relaxed geometry.

Structure (POSCAR):
```
NdMg3Hg4
1.0
4.933 0.000 0.000
0.000 4.933 0.000
0.000 0.000 7.576
Nd Mg Hg
1 3 4
Cartesian
0.000 0.000 0.000
0.000 0.000 3.788
2.467 2.467 0.000
2.467 2.467 3.788
0.000 2.467 2.033
0.000 2.467 5.543
2.467 0.000 2.033
2.467 0.000 5.543
```

Formation enthalpy at 0 K: -331 meV/atom
Crystal system: tetragonal
Theoretical density: 9.2 g/cm3

# 6
VASP calculation (PBE) on crystalline NdMgHg at its relaxed geometry.

Structure (POSCAR):
```
NdMgHg
1.0
3.662 0.000 0.000
0.000 11.725 0.000
0.000 0.000 3.661
Nd Mg Hg
2 2 2
Cartesian
0.000 1.366 0.000
1.831 10.359 1.830
0.000 4.958 3.655
1.831 6.767 1.824
0.000 8.256 3.658
1.831 3.469 1.827
```

Formation enthalpy at 0 K: -253 meV/atom
Crystal system: orthorhombic
Theoretical density: 7.8 g/cm3

# 7
VASP calculation (PBE) on crystalline Nd3MgHg5 at its relaxed geometry.

Structure (POSCAR):
```
Nd3MgHg5
1.0
9.222 0.000 0.000
-4.611 7.987 0.000
0.000 0.000 6.445
Nd Mg Hg
6 2 10
Cartesian
-1.671 2.894 1.611
-2.940 5.093 4.834
3.342 0.000 1.611
1.671 2.894 4.834
5.881 0.000 4.834
2.940 5.093 1.611
0.000 0.000 0.000
0.000 0.000 3.223
-1.365 2.364 4.834
-3.247 5.623 1.611
2.729 0.000 4.834
1.365 2.364 1.611
0.000 5.325 0.000
0.000 5.325 3.223
4.611 2.662 0.000
4.611 2.662 3.223
6.493 0.000 1.611
3.247 5.623 4.834
```

Formation enthalpy at 0 K: -448 meV/atom
Crystal system: hexagonal
Theoretical density: 10.2 g/cm3

# 8
VASP calculation (PBE) on crystalline NdMg4Hg4 at its relaxed geometry.

Structure (POSCAR):
```
NdMg4Hg4
1.0
6.759 0.000 0.000
0.000 6.759 0.000
0.000 0.000 9.571
Nd Mg Hg
2 8 8
Cartesian
1.690 5.069 2.393
5.069 1.690 7.178
0.173 1.690 1.561
1.690 0.173 6.347
1.690 3.206 6.347
3.206 1.690 1.561
3.553 5.069 8.009
5.069 3.553 3.224
5.069 6.586 3.224
6.586 5.069 8.009
0.135 1.690 4.432
1.690 0.135 9.218
1.690 3.244 9.218
3.244 1.690 4.432
3.515 5.069 5.138
5.069 3.515 0.353
5.069 6.624 0.353
6.624 5.069 5.138
```

Formation enthalpy at 0 K: -219 meV/atom
Crystal system: tetragonal
Theoretical density: 7.9 g/cm3

# 9
VASP calculation (PBE) on crystalline Nd6Mg2Hg at its relaxed geometry.

Structure (POSCAR):
```
Nd6Mg2Hg
1.0
8.486 -1.842 0.000
8.486 1.842 0.000
-7.361 0.000 9.069
Nd Mg Hg
6 2 1
Cartesian
-0.611 0.000 1.691
-1.428 0.000 8.152
2.074 0.000 4.172
7.537 0.000 4.897
11.039 0.000 0.917
10.222 0.000 7.378
5.067 0.000 2.332
4.543 0.000 6.737
-3.681 0.000 4.534
```

Formation enthalpy at 0 K: -78 meV/atom
Distance to the lowest polymorph of the same formula: 0 meV per atom
Crystal system: monoclinic
Theoretical density: 6.5 g/cm3

# 10
VASP calculation (PBE) on crystalline Nd3MgHg2 at its relaxed geometry.

Structure (POSCAR):
```
Nd3MgHg2
1.0
5.389 0.000 0.000
0.000 16.479 0.000
0.000 0.000 3.845
Nd Mg Hg
6 2 4
Cartesian
0.000 0.000 0.000
0.000 5.440 0.000
0.000 11.039 0.000
2.695 2.800 0.000
2.695 8.240 0.000
2.695 13.679 0.000
0.000 8.240 1.922
2.695 0.000 1.922
0.000 2.572 1.922
0.000 13.907 1.922
2.695 5.667 1.922
2.695 10.812 1.922
```

Formation enthalpy at 0 K: -356 meV/atom
Distance to the lowest polymorph of the same formula: 0 meV per atom
Crystal system: orthorhombic
Theoretical density: 8.3 g/cm3

# 11
VASP calculation (PBE) on crystalline Nd6MgHg2 at its relaxed geometry.

Structure (POSCAR):
```
Nd6MgHg2
1.0
-5.055 5.277 5.386
5.055 -5.277 5.386
5.055 5.277 -5.386
Nd Mg Hg
12 2 4
Cartesian
5.055 -2.903 3.480
3.034 0.000 2.713
7.075 0.000 2.713
3.229 2.852 0.000
6.880 2.852 0.000
0.000 2.374 1.906
5.055 2.903 3.480
-1.825 2.425 5.386
1.825 2.425 5.386
-2.020 5.277 2.673
2.020 5.277 2.673
0.000 8.179 1.906
5.055 0.000 0.000
0.000 5.277 0.000
1.517 0.000 0.000
8.593 0.000 0.000
0.000 0.000 3.930
0.000 0.000 6.842
```

Formation enthalpy at 0 K: -169 meV/atom
Crystal system: orthorhombic
Theoretical density: 7.5 g/cm3

# 12
VASP calculation (PBE) on crystalline Nd2MgHg2 at its relaxed geometry.

Structure (POSCAR):
```
Nd2MgHg2
1.0
7.840 0.000 0.000
0.000 7.840 0.000
0.000 0.000 4.565
Nd Mg Hg
4 2 4
Cartesian
1.282 2.638 0.000
2.638 6.558 0.000
5.202 1.282 0.000
6.558 5.202 0.000
0.000 0.000 2.282
3.920 3.920 2.282
1.092 5.012 2.282
2.828 1.092 2.282
5.012 6.748 2.282
6.748 2.828 2.282
```

Formation enthalpy at 0 K: -388 meV/atom
Distance to the lowest polymorph of the same formula: 0 meV per atom
Crystal system: tetragonal
Theoretical density: 8.5 g/cm3

| no. | magnetic moment (μB/atom) |
| --- | --- |
| 1 | 0.000 |
| 2 | 0.083 |
| 3 | 0.161 |
| 4 | 0.000 |
| 5 | 0.000 |
| 6 | 0.000 |
| 7 | 0.000 |
| 8 | 0.000 |
| 9 | 0.000 |
| 10 | 0.000 |
| 11 | 0.000 |
| 12 | 0.000 |